1.
This record from the Alexandria database describes a geometry-optimized Tb2Pm7Tm3 structure. The functional is GGA-PBE.

Lattice parameters (Å, degrees): 5.834 3.614 18.918 90.00 93.98 90.00
Atoms (fractional coordinates):
Tb (0.204, 0.000, 0.298)
Tb (0.796, 0.000, 0.702)
Pm (0.172, 0.500, 0.145)
Pm (0.242, 0.000, 0.465)
Pm (0.325, 0.000, 0.817)
Pm (0.500, 0.500, 0.000)
Pm (0.675, 0.000, 0.183)
Pm (0.758, 0.000, 0.535)
Pm (0.828, 0.500, 0.855)
Tm (0.000, 0.000, 0.000)
Tm (0.283, 0.500, 0.632)
Tm (0.717, 0.500, 0.368)

Results
E_form	8.6	kJ/mol of atoms
calculated volume	397.8	Å³ per cell
crystal system	monoclinic
N(E_F)	15.94	states/eV per cell
spin magnetization	0.00	μB/cell
offset from the most stable computed form	0.0	meV per atom
total energy	-4.57	eV/atom
space group	P2/m, No. 10

***

2.
This record from the Alexandria database describes a geometry-optimized Nd6Cd2Ga structure. The functional is GGA-PBE.

Lattice parameters (Å, degrees): 8.982 8.982 8.982 112.90 108.44 107.14
Atoms (fractional coordinates):
Nd (0.068, 0.243, 0.825)
Nd (0.240, 0.569, 0.329)
Nd (0.240, 0.911, 0.671)
Nd (0.308, 0.241, 0.548)
Nd (0.308, 0.759, 0.067)
Nd (0.417, 0.243, 0.175)
Nd (0.583, 0.757, 0.825)
Nd (0.692, 0.241, 0.933)
Nd (0.692, 0.759, 0.452)
Nd (0.760, 0.089, 0.329)
Nd (0.760, 0.431, 0.671)
Nd (0.932, 0.757, 0.175)
Cd (0.000, 0.142, 0.142)
Cd (0.000, 0.858, 0.858)
Cd (0.137, 0.500, 0.637)
Cd (0.863, 0.500, 0.363)
Ga (0.500, 0.000, 0.500)
Ga (0.500, 0.500, 0.000)

Results
E_form	-18.8	kJ/mol of atoms
calculated volume	556.3	Å³ per cell
crystal system	orthorhombic
N(E_F)	23.16	states/eV per cell
spin magnetization	0.00	μB/cell
total energy	-3.91	eV/atom
space group	Immm, No. 71

***

3.
This record from the Alexandria database describes a geometry-optimized RuAuNF2 structure. The functional is GGA-PBE.

Lattice parameters (Å, degrees): 4.633 4.633 3.766 90.00 90.00 90.00
Atoms (fractional coordinates):
Ru (0.000, 0.000, 0.000)
Au (0.500, 0.500, 0.500)
N (0.500, 0.500, 0.000)
F (0.000, 0.500, 0.500)
F (0.500, 0.000, 0.500)

Results
calculated volume	80.8	Å³ per cell
crystal system	tetragonal
N(E_F)	4.03	states/eV per cell
spin magnetization	3.29	μB/cell
offset from the most stable computed form	940.7	meV per atom
total energy	-4.09	eV/atom
space group	P4/mmm, No. 123
formation energy without anion corrections	0.839	eV/atom

***

4.
This record from the Alexandria database describes a geometry-optimized CdBiRhPb2 structure. The functional is GGA-PBE.

Lattice parameters (Å, degrees): 5.260 5.260 5.267 90.00 90.00 90.00
Atoms (fractional coordinates):
Cd (0.000, 0.000, 0.000)
Bi (0.500, 0.500, 0.000)
Rh (0.000, 0.000, 0.500)
Pb (0.000, 0.500, 0.500)
Pb (0.500, 0.000, 0.500)

Results
E_form	9.4	kJ/mol of atoms
calculated volume	145.7	Å³ per cell
crystal system	tetragonal
N(E_F)	1.90	states/eV per cell
spin magnetization	0.00	μB/cell
total energy	-3.82	eV/atom
space group	P4/mmm, No. 123

***

5.
This record from the Alexandria database describes a geometry-optimized TaMoPt4 structure. The functional is GGA-PBE.

Lattice parameters (Å, degrees): 5.196 5.196 5.196 60.00 60.00 60.00
Atoms (fractional coordinates):
Ta (0.000, 0.000, 0.000)
Mo (0.750, 0.750, 0.750)
Pt (0.375, 0.375, 0.375)
Pt (0.375, 0.375, 0.874)
Pt (0.375, 0.874, 0.375)
Pt (0.874, 0.375, 0.375)

Results
E_form	-6.2	kJ/mol of atoms
calculated volume	99.2	Å³ per cell
crystal system	cubic
N(E_F)	7.03	states/eV per cell
spin magnetization	0.05	μB/cell
total energy	-7.87	eV/atom
space group	F-43m, No. 216

***

6.
This record from the Alexandria database describes a geometry-optimized Np2Pd6Rh structure. The functional is GGA-PBE.

Lattice parameters (Å, degrees): 6.568 6.568 6.330 105.63 105.63 36.10
Atoms (fractional coordinates):
Np (0.052, 0.052, 0.326)
Np (0.948, 0.948, 0.674)
Pd (0.167, 0.167, 0.004)
Pd (0.282, 0.282, 0.669)
Pd (0.377, 0.377, 0.317)
Pd (0.623, 0.623, 0.683)
Pd (0.718, 0.718, 0.331)
Pd (0.833, 0.833, 0.996)
Rh (0.500, 0.500, 0.000)

Results
E_form	-32.1	kJ/mol of atoms
calculated volume	154.3	Å³ per cell
crystal system	monoclinic
N(E_F)	15.99	states/eV per cell
spin magnetization	6.65	μB/cell
total energy	-7.49	eV/atom
space group	C2/m, No. 12

***

7.
This record from the Alexandria database describes a geometry-optimized MnFe3B structure. The functional is GGA-PBE.

Lattice parameters (Å, degrees): 4.142 4.142 4.142 90.00 90.00 90.00
Atoms (fractional coordinates):
Mn (0.000, 0.000, 0.000)
Fe (0.000, 0.000, 0.500)
Fe (0.000, 0.500, 0.000)
Fe (0.500, 0.000, 0.000)
B (0.500, 0.500, 0.500)

Results
E_form	176.9	kJ/mol of atoms
calculated volume	71.1	Å³ per cell
crystal system	cubic
N(E_F)	5.37	states/eV per cell
spin magnetization	5.35	μB/cell
offset from the most stable computed form	1499.1	meV per atom
total energy	-6.41	eV/atom
space group	Pm-3m, No. 221

***

8.
This record from the Alexandria database describes a geometry-optimized NdEr2Ni structure. The functional is GGA-PBE.

Lattice parameters (Å, degrees): 9.512 9.512 9.512 22.62 22.62 22.62
Atoms (fractional coordinates):
Nd (0.000, 0.000, 0.000)
Er (0.224, 0.224, 0.224)
Er (0.776, 0.776, 0.776)
Ni (0.500, 0.500, 0.500)

Results
E_form	-10.3	kJ/mol of atoms
calculated volume	111.7	Å³ per cell
crystal system	trigonal
N(E_F)	5.29	states/eV per cell
spin magnetization	0.00	μB/cell
offset from the most stable computed form	96.9	meV per atom
total energy	-5.03	eV/atom
space group	R-3m, No. 166

***

9.
This record from the Alexandria database describes a geometry-optimized Ce2As4Pd5 structure. The functional is GGA-PBE.

Lattice parameters (Å, degrees): 9.144 8.220 5.697 79.91 62.25 37.84
Atoms (fractional coordinates):
Ce (0.139, 0.139, 0.861)
Ce (0.861, 0.861, 0.139)
As (0.221, 0.516, 0.484)
As (0.484, 0.779, 0.221)
As (0.516, 0.221, 0.779)
As (0.779, 0.484, 0.516)
Pd (0.000, 0.000, 0.500)
Pd (0.250, 0.250, 0.250)
Pd (0.500, 0.500, 0.000)
Pd (0.500, 0.500, 0.500)
Pd (0.750, 0.750, 0.750)

Results
E_form	-59.1	kJ/mol of atoms
calculated volume	217.4	Å³ per cell
crystal system	orthorhombic
N(E_F)	18.09	states/eV per cell
spin magnetization	2.07	μB/cell
total energy	-5.74	eV/atom
space group	Fmmm, No. 69

***

10.
This record from the Alexandria database describes a geometry-optimized LiTl2Cu2Pd5 structure. The functional is GGA-PBE.

Lattice parameters (Å, degrees): 9.155 9.155 4.013 90.00 90.00 90.00
Atoms (fractional coordinates):
Li (0.000, 0.000, 0.000)
Li (0.500, 0.500, 0.000)
Tl (0.172, 0.328, 0.000)
Tl (0.328, 0.828, 0.000)
Tl (0.672, 0.172, 0.000)
Tl (0.828, 0.672, 0.000)
Cu (0.124, 0.624, 0.000)
Cu (0.376, 0.124, 0.000)
Cu (0.624, 0.876, 0.000)
Cu (0.876, 0.376, 0.000)
Pd (0.000, 0.500, 0.500)
Pd (0.083, 0.805, 0.500)
Pd (0.195, 0.083, 0.500)
Pd (0.305, 0.583, 0.500)
Pd (0.417, 0.305, 0.500)
Pd (0.500, 0.000, 0.500)
Pd (0.583, 0.695, 0.500)
Pd (0.695, 0.417, 0.500)
Pd (0.805, 0.917, 0.500)
Pd (0.917, 0.195, 0.500)

Results
E_form	-11.2	kJ/mol of atoms
calculated volume	336.4	Å³ per cell
crystal system	tetragonal
N(E_F)	8.63	states/eV per cell
spin magnetization	0.00	μB/cell
total energy	-4.20	eV/atom
space group	P4/mbm, No. 127

***

11.
This record from the Alexandria database describes a geometry-optimized TlSn2Cl2 structure. The functional is GGA-PBE.

Lattice parameters (Å, degrees): 9.053 9.053 3.606 90.00 90.00 90.00
Atoms (fractional coordinates):
Tl (0.000, 0.000, 0.000)
Tl (0.500, 0.500, 0.000)
Sn (0.214, 0.286, 0.000)
Sn (0.286, 0.786, 0.000)
Sn (0.714, 0.214, 0.000)
Sn (0.786, 0.714, 0.000)
Cl (0.127, 0.627, 0.500)
Cl (0.373, 0.127, 0.500)
Cl (0.627, 0.873, 0.500)
Cl (0.873, 0.373, 0.500)

Results
calculated volume	295.5	Å³ per cell
crystal system	tetragonal
N(E_F)	3.84	states/eV per cell
spin magnetization	0.00	μB/cell
offset from the most stable computed form	0.0	meV per atom
total energy	-3.12	eV/atom
space group	P4/mbm, No. 127
formation energy without anion corrections	-0.305	eV/atom

***

12.
This record from the Alexandria database describes a geometry-optimized MoHN structure. The functional is GGA-PBE.

Lattice parameters (Å, degrees): 7.421 2.997 4.908 90.00 90.00 90.00
Atoms (fractional coordinates):
Mo (0.172, 0.250, 0.097)
Mo (0.328, 0.750, 0.597)
Mo (0.672, 0.250, 0.403)
Mo (0.828, 0.750, 0.903)
H (0.132, 0.750, 0.337)
H (0.368, 0.250, 0.837)
H (0.632, 0.750, 0.163)
H (0.868, 0.250, 0.663)
N (0.100, 0.750, 0.810)
N (0.400, 0.250, 0.310)
N (0.600, 0.750, 0.690)
N (0.900, 0.250, 0.190)

Results
calculated volume	109.2	Å³ per cell
crystal system	orthorhombic
N(E_F)	6.68	states/eV per cell
spin magnetization	0.00	μB/cell
offset from the most stable computed form	0.0	meV per atom
total energy	-7.60	eV/atom
space group	Pnma, No. 62